No. 1
The following is a PBE calculation of LaTb6Y8 after structural relaxation, from Alexandria via LeMat-Bulk.

Results
DFT total energy	-5.402	eV/atom
offset from the most stable computed form	92.7	meV/atom
ΔH_f (0 K)	227	meV per atom

a b c (Å): 9.504 9.504 6.541
angles (deg): 90.00 90.00 120.00
Sites, in units of the cell vectors:
La  0.000  0.000  0.000
Tb  0.094  0.415  0.909
Tb  0.321  0.906  0.909
Tb  0.415  0.321  0.091
Tb  0.585  0.679  0.909
Tb  0.679  0.094  0.091
Tb  0.906  0.585  0.091
Y  0.026  0.688  0.596
Y  0.312  0.338  0.596
Y  0.333  0.667  0.332
Y  0.338  0.026  0.404
Y  0.662  0.974  0.596
Y  0.667  0.333  0.668
Y  0.688  0.662  0.404
Y  0.974  0.312  0.404

No. 2
The following is a PBE calculation of SrScAs2 after structural relaxation, from Alexandria via LeMat-Bulk.

Results
DFT total energy	-5.254	eV/atom
offset from the most stable computed form	164.2	meV/atom
ΔH_f (0 K)	-926	meV per atom

a b c (Å): 3.335 3.750 7.645
angles (deg): 90.00 100.08 90.00
Sites, in units of the cell vectors:
Sr  0.000  0.000  0.000
Sc  0.000  0.000  0.500
As  0.432  0.500  0.721
As  0.568  0.500  0.279

No. 3
The following is a PBE calculation of YRu2Pt after structural relaxation, from Alexandria via LeMat-Bulk.

Results
DFT total energy	-7.866	eV/atom
offset from the most stable computed form	111.7	meV/atom
ΔH_f (0 K)	-102	meV per atom

a b c (Å): 3.400 3.400 6.152
angles (deg): 90.00 90.00 90.00
Sites, in units of the cell vectors:
Y  0.000  0.000  0.000
Ru  0.000  0.000  0.514
Ru  0.500  0.500  0.694
Pt  0.500  0.500  0.262

No. 4
The following is a PBE calculation of CaMo2Pt after structural relaxation, from Alexandria via LeMat-Bulk.

Results
DFT total energy	-7.285	eV/atom
offset from the most stable computed form	91.5	meV/atom
ΔH_f (0 K)	141	meV per atom

a b c (Å): 12.252 2.765 4.833
angles (deg): 90.00 113.09 90.00
Sites, in units of the cell vectors:
Ca  0.000  0.000  0.000
Ca  0.500  0.500  0.000
Mo  0.212  0.000  0.712
Mo  0.288  0.500  0.288
Mo  0.712  0.500  0.712
Mo  0.788  0.000  0.288
Pt  0.000  0.500  0.500
Pt  0.500  0.000  0.500

No. 5
The following is a PBE calculation of InRh2Br after structural relaxation, from Alexandria via LeMat-Bulk.

Results
DFT total energy	-4.447	eV/atom
offset from the most stable computed form	321.0	meV/atom

a b c (Å): 6.571 6.571 6.571
angles (deg): 90.00 90.00 90.00
Sites, in units of the cell vectors:
In  0.000  0.000  0.000
In  0.000  0.500  0.500
In  0.500  0.000  0.500
In  0.500  0.500  0.000
Rh  0.250  0.250  0.250
Rh  0.250  0.250  0.750
Rh  0.250  0.750  0.250
Rh  0.250  0.750  0.750
Rh  0.750  0.250  0.250
Rh  0.750  0.250  0.750
Rh  0.750  0.750  0.250
Rh  0.750  0.750  0.750
Br  0.000  0.000  0.500
Br  0.000  0.500  0.000
Br  0.500  0.000  0.000
Br  0.500  0.500  0.500

No. 6
The following is a PBE calculation of PmGa4NiPd2 after structural relaxation, from Alexandria via LeMat-Bulk.

Results
DFT total energy	-4.726	eV/atom
ΔH_f (0 K)	-598	meV per atom

a b c (Å): 9.091 9.091 9.091
angles (deg): 27.12 27.12 27.12
Sites, in units of the cell vectors:
Pm  0.000  0.000  0.000
Ga  0.135  0.135  0.135
Ga  0.402  0.402  0.402
Ga  0.598  0.598  0.598
Ga  0.865  0.865  0.865
Ni  0.500  0.500  0.500
Pd  0.237  0.237  0.237
Pd  0.763  0.763  0.763

No. 7
The following is a PBE calculation of Pm3In4Ni4 after structural relaxation, from Alexandria via LeMat-Bulk.

Results
DFT total energy	-4.766	eV/atom
ΔH_f (0 K)	-372	meV per atom

a b c (Å): 8.501 8.501 8.501
angles (deg): 152.41 125.60 62.08
Sites, in units of the cell vectors:
Pm  0.000  0.000  0.000
Pm  0.383  0.883  0.500
Pm  0.617  0.117  0.500
In  0.025  0.330  0.695
In  0.365  0.670  0.695
In  0.635  0.330  0.305
In  0.975  0.670  0.305
Ni  0.227  0.227  0.000
Ni  0.319  0.500  0.819
Ni  0.681  0.500  0.181
Ni  0.773  0.773  0.000

No. 8
The following is a PBE calculation of NdDyGaRh after structural relaxation, from Alexandria via LeMat-Bulk.

Results
DFT total energy	-5.626	eV/atom
offset from the most stable computed form	0.0	meV/atom
ΔH_f (0 K)	-689	meV per atom

a b c (Å): 3.931 4.331 11.136
angles (deg): 90.00 90.00 90.00
Sites, in units of the cell vectors:
Nd  0.000  0.000  0.000
Nd  0.000  0.500  0.500
Dy  0.500  0.000  0.286
Dy  0.500  0.500  0.786
Ga  0.500  0.000  0.587
Ga  0.500  0.500  0.087
Rh  0.000  0.000  0.739
Rh  0.000  0.500  0.239